No. 1
A plane-wave DFT calculation with GGA-PBE was carried out for an optimized crystal structure of LaDyTh2Bi5.

## Properties
Crystal system: tetragonal
Energy of formation from the pure elements: -0.02 eV/atom
Space-group type: P4/mmm

Lattice parameters (Å, degrees): 5.4189 5.4189 11.9801 90.00 90.00 90.00
Atoms (fractional coordinates):
Bi (0.5000, 0.5000, 0.0000)
Bi (0.0000, 0.0000, 0.2525)
Bi (0.0000, 0.5000, 0.5000)
Bi (0.5000, 0.0000, 0.5000)
Bi (0.0000, 0.0000, 0.7475)
Dy (0.0000, 0.0000, 0.5000)
La (0.0000, 0.0000, 0.0000)
Th (0.5000, 0.5000, 0.6983)
Th (0.5000, 0.5000, 0.3017)

No. 2
A plane-wave DFT calculation with GGA-PBE was carried out for an optimized crystal structure of NiHPdPt2.

## Properties
Distance to the lowest polymorph of the same formula: 0 meV per atom
Crystal system: tetragonal
Space-group type: P4/mmm

Lattice parameters (Å, degrees): 3.9627 3.9627 3.8879 90.00 90.00 90.00
Atoms (fractional coordinates):
H (0.0000, 0.0000, 0.0000)
Ni (0.0000, 0.0000, 0.5000)
Pt (0.5000, 0.0000, 0.0000)
Pt (0.0000, 0.5000, 0.0000)
Pd (0.5000, 0.5000, 0.5000)

No. 3
A plane-wave DFT calculation with GGA-PBE was carried out for an optimized crystal structure of RbPmTcO6.

## Properties
Formation energy without anion corrections: -40.60 kcal/mol of atoms
Crystal system: triclinic
Space-group type: P1

Lattice parameters (Å, degrees): 5.8209 5.8429 6.1341 92.99 91.41 56.02
Atoms (fractional coordinates):
O (0.3230, 0.0879, 0.6768)
O (0.3566, 0.5994, 0.3179)
O (0.5938, 0.0175, 0.3154)
O (0.0411, 0.3973, 0.3127)
O (0.0762, 0.5505, 0.7054)
O (0.6020, 0.3365, 0.6610)
Rb (0.9934, 0.0108, 0.0056)
Pm (0.6635, 0.6620, 0.5449)
Tc (0.3502, 0.3381, 0.4603)

No. 4
A plane-wave DFT calculation with GGA-PBE was carried out for an optimized crystal structure of Cs2RbMnPt.

## Properties
Crystal system: tetragonal
Energy of formation from the pure elements: 1.11 eV/atom
Space-group type: P4/mmm

Lattice parameters (Å, degrees): 5.8265 6.0067 5.8265 90.00 90.00 90.00
Atoms (fractional coordinates):
Rb (0.0000, 0.5000, 0.0000)
Cs (0.0000, 0.0000, 0.5000)
Cs (0.5000, 0.0000, 0.0000)
Mn (0.0000, 0.0000, 0.0000)
Pt (0.5000, 0.5000, 0.5000)

No. 5
A plane-wave DFT calculation with GGA-PBE was carried out for an optimized crystal structure of SrCd2H16Br6O8.

## Properties
Crystal system: orthorhombic
E_tot: -4.352 eV/atom
Space-group type: P2_12_12

Lattice parameters (Å, degrees): 4.1363 8.8263 25.9230 90.00 90.00 90.00
Atoms (fractional coordinates):
Br (0.9592, 0.3411, 0.7099)
Br (0.9973, 0.9128, 0.6935)
Br (0.4592, 0.6589, 0.7901)
Br (0.5394, 0.1529, 0.5865)
Br (0.0394, 0.8471, 0.9135)
Br (0.9606, 0.8471, 0.0865)
Br (0.4973, 0.0872, 0.8065)
Br (0.4606, 0.1529, 0.4135)
Br (0.0408, 0.3411, 0.2901)
Br (0.5408, 0.6589, 0.2099)
Br (0.0027, 0.9128, 0.3065)
Br (0.5027, 0.0872, 0.1935)
O (0.9955, 0.2445, 0.0601)
O (0.0000, 0.9502, 0.5000)
O (0.5417, 0.6095, 0.3483)
O (0.9583, 0.3905, 0.8483)
O (0.5000, 0.4493, 0.5000)
O (0.0000, 0.5507, 0.0000)
O (0.0045, 0.2445, 0.9399)
O (0.0417, 0.3905, 0.1517)
O (0.4583, 0.6095, 0.6517)
O (0.5189, 0.5114, 0.9166)
O (0.0189, 0.4886, 0.5834)
O (0.4955, 0.7555, 0.4399)
O (0.9811, 0.4886, 0.4166)
O (0.4811, 0.5114, 0.0834)
O (0.5045, 0.7555, 0.5601)
O (0.5000, 0.0498, 0.0000)
H (0.8772, 0.3362, 0.8179)
H (0.3712, 0.5419, 0.3354)
H (0.0185, 0.1346, 0.0649)
H (0.9815, 0.1346, 0.9351)
H (0.6228, 0.6638, 0.3179)
H (0.1623, 0.5143, 0.6128)
H (0.6623, 0.4857, 0.8872)
H (0.3377, 0.4857, 0.1128)
H (0.8712, 0.4581, 0.1646)
H (0.0931, 0.0177, 0.4737)
H (0.5931, 0.9823, 0.0263)
H (0.9855, 0.2886, 0.0955)
H (0.9388, 0.3858, 0.5899)
H (0.4069, 0.9823, 0.9737)
H (0.4855, 0.7114, 0.4045)
H (0.1228, 0.3362, 0.1821)
H (0.9069, 0.0177, 0.5263)
H (0.5185, 0.8654, 0.4351)
H (0.4388, 0.6142, 0.9101)
H (0.4815, 0.8654, 0.5649)
H (0.0353, 0.6188, 0.0296)
H (0.5145, 0.7114, 0.5955)
H (0.4647, 0.3812, 0.5296)
H (0.5353, 0.3812, 0.4704)
H (0.0612, 0.3858, 0.4101)
H (0.1288, 0.4581, 0.8354)
H (0.9647, 0.6188, 0.9704)
H (0.3772, 0.6638, 0.6821)
H (0.8377, 0.5143, 0.3872)
H (0.0145, 0.2886, 0.9045)
H (0.5612, 0.6142, 0.0899)
H (0.6288, 0.5419, 0.6646)
Cd (0.0249, 0.8658, 0.1933)
Cd (0.5249, 0.1342, 0.3067)
Cd (0.4751, 0.1342, 0.6933)
Cd (0.9751, 0.8658, 0.8067)
Sr (0.0000, 0.6534, 0.5000)
Sr (0.5000, 0.3466, 0.0000)

No. 6
A plane-wave DFT calculation with GGA-PBE was carried out for an optimized crystal structure of TaSb2Au.

## Properties
Formation energy without anion corrections: 6.20 kcal/mol of atoms
Crystal system: orthorhombic
Space-group type: Cmmm

Lattice parameters (Å, degrees): 3.1400 3.1400 9.3125 90.00 90.00 104.33
Atoms (fractional coordinates):
Sb (0.0000, 0.0000, 0.4822)
Sb (0.0000, 0.0000, 0.0178)
Au (0.5000, 0.5000, 0.7500)
Ta (0.5000, 0.5000, 0.2500)

No. 7
A plane-wave DFT calculation with GGA-PBE was carried out for an optimized crystal structure of GeSbRh2.

## Properties
Formation energy without anion corrections: -1.12 kcal/mol of atoms
Crystal system: tetragonal
Space-group type: I-42d

Lattice parameters (Å, degrees): 5.3997 5.3997 7.3248 68.37 68.37 90.00
Atoms (fractional coordinates):
Sb (0.0000, 0.0000, 0.0000)
Sb (0.7500, 0.2500, 0.5000)
Rh (0.1572, 0.6250, 0.2500)
Rh (0.3750, 0.4072, 0.7500)
Rh (0.8750, 0.8428, 0.7500)
Rh (0.5928, 0.1250, 0.2500)
Ge (0.2500, 0.7500, 0.5000)
Ge (0.5000, 0.5000, 0.0000)

No. 8
A plane-wave DFT calculation with GGA-PBE was carried out for an optimized crystal structure of Li3AcSn3.

## Properties
Distance to the lowest polymorph of the same formula: 292 meV per atom
Crystal system: cubic
Energy of formation from the pure elements: -0.02 eV/atom
Space-group type: Pm-3n

Lattice parameters (Å, degrees): 7.2169 7.2169 7.2169 90.00 90.00 90.00
Atoms (fractional coordinates):
Sn (0.0000, 0.7500, 0.5000)
Sn (0.5000, 0.0000, 0.7500)
Sn (0.7500, 0.5000, 0.0000)
Sn (0.2500, 0.5000, 0.0000)
Sn (0.5000, 0.0000, 0.2500)
Sn (0.0000, 0.2500, 0.5000)
Ac (0.5000, 0.5000, 0.5000)
Ac (0.0000, 0.0000, 0.0000)
Li (0.2500, 0.0000, 0.5000)
Li (0.7500, 0.0000, 0.5000)
Li (0.5000, 0.7500, 0.0000)
Li (0.0000, 0.5000, 0.2500)
Li (0.5000, 0.2500, 0.0000)
Li (0.0000, 0.5000, 0.7500)

No. 9
A plane-wave DFT calculation with GGA-PBE was carried out for an optimized crystal structure of LiSb2Br.

## Properties
Distance to the lowest polymorph of the same formula: 294 meV per atom
Formation energy without anion corrections: -9.09 kcal/mol of atoms
Crystal system: monoclinic
Space-group type: P2/m

Lattice parameters (Å, degrees): 6.4892 4.1810 4.3369 87.87 90.00 90.00
Atoms (fractional coordinates):
Br (0.5000, 0.2500, 0.2500)
Sb (0.0000, 0.5224, 0.5296)
Sb (0.0000, 0.9776, 0.9704)
Li (0.5000, 0.7500, 0.7500)

No. 10
A plane-wave DFT calculation with GGA-PBE was carried out for an optimized crystal structure of KSeCl2.

## Properties
Distance to the lowest polymorph of the same formula: 590 meV per atom
Formation energy without anion corrections: -6.00 kcal/mol of atoms
Crystal system: cubic
Space-group type: F-43m

Lattice parameters (Å, degrees): 5.4250 5.4250 5.4250 60.00 60.00 60.00
Atoms (fractional coordinates):
Cl (0.0000, 0.0000, 0.0000)
Cl (0.2500, 0.2500, 0.2500)
Se (0.7500, 0.7500, 0.7500)
K (0.5000, 0.5000, 0.5000)

No. 11
A plane-wave DFT calculation with GGA-PBE was carried out for an optimized crystal structure of PrMg3.

## Properties
Crystal system: tetragonal
Energy of formation from the pure elements: -0.13 eV/atom
Space-group type: I4/mmm

Lattice parameters (Å, degrees): 5.2587 5.2587 5.2662 119.95 119.95 90.00
Atoms (fractional coordinates):
Pr (0.0000, 0.0000, 0.0000)
Mg (0.5000, 0.5000, 0.0000)
Mg (0.7500, 0.2500, 0.5000)
Mg (0.2500, 0.7500, 0.5000)

No. 12
A plane-wave DFT calculation with GGA-PBE was carried out for an optimized crystal structure of KPa2CuSe8.

## Properties
Formation energy without anion corrections: -18.71 kcal/mol of atoms
Crystal system: trigonal
Space-group type: P-3m1

Lattice parameters (Å, degrees): 6.1660 6.1660 9.5125 90.00 90.00 120.00
Atoms (fractional coordinates):
Se (0.6474, 0.8237, 0.1621)
Se (0.3333, 0.6667, 0.6100)
Se (0.6667, 0.3333, 0.3900)
Se (0.3526, 0.1763, 0.8379)
Se (0.8237, 0.1763, 0.8379)
Se (0.8237, 0.6474, 0.8379)
Se (0.1763, 0.8237, 0.1621)
Se (0.1763, 0.3526, 0.1621)
Pa (0.3333, 0.6667, 0.8813)
Pa (0.6667, 0.3333, 0.1187)
Cu (0.0000, 0.0000, 0.0000)
K (0.0000, 0.0000, 0.5000)

No. 13
A plane-wave DFT calculation with GGA-PBE was carried out for an optimized crystal structure of CrAgP2.

## Properties
Distance to the lowest polymorph of the same formula: 249 meV per atom
Crystal system: monoclinic
Energy of formation from the pure elements: 0.20 eV/atom
Space-group type: Pm

Lattice parameters (Å, degrees): 4.8479 3.4095 3.8361 90.41 90.00 90.00
Atoms (fractional coordinates):
P (0.0000, 0.8861, 0.9628)
P (0.5000, 0.3642, 0.2791)
Cr (0.5000, 0.8596, 0.7830)
Ag (0.0000, 0.3902, 0.4751)

No. 14
A plane-wave DFT calculation with GGA-PBE was carried out for an optimized crystal structure of Li2InW.

## Properties
Crystal system: cubic
Energy of formation from the pure elements: 0.60 eV/atom
Space-group type: F-43m

Lattice parameters (Å, degrees): 4.6314 4.6314 4.6314 60.00 60.00 60.00
Atoms (fractional coordinates):
W (0.7500, 0.7500, 0.7500)
Li (0.2500, 0.2500, 0.2500)
Li (0.0000, 0.0000, 0.0000)
In (0.5000, 0.5000, 0.5000)

No. 15
A plane-wave DFT calculation with GGA-PBE was carried out for an optimized crystal structure of Sr4ZnCd2.

## Properties
Crystal system: trigonal
Energy of formation from the pure elements: -0.20 eV/atom
Space-group type: R-3m

Lattice parameters (Å, degrees): 5.6889 5.6889 9.8330 73.19 73.19 60.00
Atoms (fractional coordinates):
Sr (0.6268, 0.6268, 0.1195)
Sr (0.3732, 0.3732, 0.8805)
Sr (0.8769, 0.8769, 0.3694)
Sr (0.1231, 0.1231, 0.6306)
Cd (0.7500, 0.7500, 0.7501)
Cd (0.2500, 0.2500, 0.2499)
Zn (0.0000, 0.0000, 0.0000)

No. 16
A plane-wave DFT calculation with GGA-PBE was carried out for an optimized crystal structure of Y2AgCl.

## Properties
Distance to the lowest polymorph of the same formula: 18 meV per atom
Formation energy without anion corrections: -17.21 kcal/mol of atoms
Crystal system: orthorhombic
Space-group type: Pmmm

Lattice parameters (Å, degrees): 3.5545 3.6283 8.0251 90.00 90.00 90.00
Atoms (fractional coordinates):
Y (0.0000, 0.7499, 0.0254)
Y (0.0000, 0.7501, 0.4746)
Cl (0.5000, 0.7500, 0.7500)
Ag (0.5000, 0.2500, 0.2500)

No. 17
A plane-wave DFT calculation with GGA-PBE was carried out for an optimized crystal structure of Li12Cd3Au.

## Properties
Crystal system: tetragonal
Energy of formation from the pure elements: -0.21 eV/atom
Space-group type: P4/mmm

Lattice parameters (Å, degrees): 4.1537 4.1537 16.4683 90.00 90.00 90.00
Atoms (fractional coordinates):
Cd (0.0000, 0.0000, 0.2437)
Cd (0.0000, 0.0000, 0.5000)
Cd (0.0000, 0.0000, 0.7563)
Li (0.0000, 0.5000, 0.3715)
Li (0.5000, 0.5000, 0.5000)
Li (0.5000, 0.0000, 0.1132)
Li (0.5000, 0.5000, 0.2417)
Li (0.0000, 0.5000, 0.6285)
Li (0.5000, 0.5000, 0.0000)
Li (0.5000, 0.0000, 0.3715)
Li (0.5000, 0.0000, 0.6285)
Li (0.0000, 0.5000, 0.8868)
Li (0.5000, 0.0000, 0.8868)
Li (0.0000, 0.5000, 0.1132)
Li (0.5000, 0.5000, 0.7583)
Au (0.0000, 0.0000, 0.0000)

No. 18
A plane-wave DFT calculation with GGA-PBE was carried out for an optimized crystal structure of CeAl4Zn.

## Properties
Crystal system: tetragonal
Energy of formation from the pure elements: 0.10 eV/atom
Space-group type: I4_1/amd

Lattice parameters (Å, degrees): 5.1137 5.1137 11.0187 103.42 103.42 90.00
Atoms (fractional coordinates):
Ce (0.7500, 0.2500, 0.5000)
Ce (0.0000, 0.0000, 0.0000)
Al (0.1475, 0.9008, 0.2950)
Al (0.1442, 0.3975, 0.7950)
Al (0.6025, 0.8558, 0.2050)
Al (0.0992, 0.8525, 0.7050)
Al (0.6058, 0.8525, 0.7050)
Al (0.1475, 0.3942, 0.2950)
Al (0.6508, 0.3975, 0.7950)
Al (0.6025, 0.3492, 0.2050)
Zn (0.5000, 0.5000, 0.0000)
Zn (0.2500, 0.7500, 0.5000)

No. 19
A plane-wave DFT calculation with GGA-PBE was carried out for an optimized crystal structure of Ac5TmTe6.

## Properties
Formation energy without anion corrections: -32.87 kcal/mol of atoms
Crystal system: monoclinic
Space-group type: C2/m

Lattice parameters (Å, degrees): 8.0731 8.0731 8.0838 99.60 99.60 120.09
Atoms (fractional coordinates):
Te (0.3900, 0.0761, 0.2338)
Te (0.6100, 0.9239, 0.7662)
Te (0.7711, 0.7711, 0.2477)
Te (0.0761, 0.3900, 0.2338)
Te (0.2289, 0.2289, 0.7523)
Te (0.9239, 0.6100, 0.7662)
Ac (0.3357, 0.6643, 0.0000)
Ac (0.5000, 0.5000, 0.5000)
Ac (0.6643, 0.3357, 0.0000)
Ac (0.1782, 0.8218, 0.5000)
Ac (0.8218, 0.1782, 0.5000)
Tm (0.0000, 0.0000, 0.0000)

No. 20
A plane-wave DFT calculation with GGA-PBE was carried out for an optimized crystal structure of LiAgPt.

## Properties
Distance to the lowest polymorph of the same formula: 51 meV per atom
Crystal system: triclinic
Energy of formation from the pure elements: -0.24 eV/atom
Space-group type: P-1

Lattice parameters (Å, degrees): 5.2926 4.6278 6.1657 59.94 47.98 72.88
Atoms (fractional coordinates):
Pt (0.9613, 0.0178, 0.9934)
Pt (0.3861, 0.1031, 0.0586)
Ag (0.3470, 0.6443, 0.5940)
Ag (0.0003, 0.4766, 0.4580)
Li (0.6737, 0.5606, 0.0260)
Li (0.6738, 0.0607, 0.5259)

No. 21
A plane-wave DFT calculation with GGA-PBE was carried out for an optimized crystal structure of Nd2Mg3In.

## Properties
Crystal system: orthorhombic
Energy of formation from the pure elements: -0.23 eV/atom
Space-group type: Fmmm

Lattice parameters (Å, degrees): 6.2627 6.2627 9.6321 101.68 101.68 112.17
Atoms (fractional coordinates):
In (0.6659, 0.6659, 0.3319)
In (0.3341, 0.3341, 0.6681)
Mg (0.8326, 0.8326, 0.6652)
Mg (0.1696, 0.6639, 0.8336)
Mg (0.1674, 0.1674, 0.3348)
Mg (0.6639, 0.1696, 0.8336)
Mg (0.3361, 0.8304, 0.1664)
Mg (0.8304, 0.3361, 0.1664)
Nd (0.7520, 0.7520, 0.0000)
Nd (0.7500, 0.2500, 0.5000)
Nd (0.2500, 0.7500, 0.5000)
Nd (0.2480, 0.2480, 0.0000)

Theoretical density (Mg/m³)
8.55; 15.13; 4.08; 4.90; 3.28; 11.60; 7.29; 5.34; 4.67; 2.78; 3.44; 6.34; 5.81; 7.39; 4.10; 5.15; 3.61; 3.82; 8.00; 10.62; 4.85